# 1
Here is a geometry-optimized BaCu4Ag structure from Alexandria. Energies are from PBE.

a = 5.3221 Å, b = 5.3221 Å, c = 5.3221 Å
α = 60.00°, β = 60.00°, γ = 60.00°
Atoms (fractional coordinates):
Ba (0.0000, 0.0000, 0.0000)
Cu (0.8667, 0.3778, 0.3778)
Cu (0.3778, 0.3778, 0.8667)
Cu (0.3778, 0.8667, 0.3778)
Cu (0.3778, 0.3778, 0.3778)
Ag (0.7500, 0.7500, 0.7500)

Computed properties:
- ρ: 7779 kg/m³
- Total moment: 0.0 Bohr magnetons per cell
- Fermi-level density of states: 4.3 states/eV per cell
- Raw total energy: -0.1258 Ha/atom

=====

# 2
Here is a geometry-optimized Mg2NCl structure from Alexandria. Energies are from PBE.

a = 3.3214 Å, b = 3.3214 Å, c = 6.3030 Å
α = 74.72°, β = 74.72°, γ = 60.00°
Atoms (fractional coordinates):
Mg (0.2772, 0.2772, 0.1684)
Mg (0.7228, 0.7228, 0.8316)
N (0.0000, 0.0000, 0.0000)
Cl (0.5000, 0.5000, 0.5000)

Computed properties:
- ΔE_f (raw): -1.149 eV per atom
- ρ: 2839 kg/m³
- Total moment: 0.0 Bohr magnetons per cell
- Fermi-level density of states: 0.0 states/eV per cell
- Raw total energy: -0.1650 Ha/atom

=====

# 3
Here is a geometry-optimized LiLaOs structure from Alexandria. Energies are from PBE.

a = 4.5915 Å, b = 4.5915 Å, c = 4.5915 Å
α = 60.00°, β = 60.00°, γ = 60.00°
Atoms (fractional coordinates):
La (0.2500, 0.2500, 0.2500)
Li (0.0000, 0.0000, 0.0000)
Os (0.5000, 0.5000, 0.5000)

Computed properties:
- ρ: 8154 kg/m³
- Total moment: 0.0 Bohr magnetons per cell
- Fermi-level density of states: 0.1 states/eV per cell
- Raw total energy: -0.1927 Ha/atom

=====

# 4
Here is a geometry-optimized Rb2MnBr2 structure from Alexandria. Energies are from PBE.

a = 9.8363 Å, b = 9.8363 Å, c = 4.1428 Å
α = 90.00°, β = 90.00°, γ = 90.00°
Atoms (fractional coordinates):
Mn (0.0000, 0.0000, 0.0000)
Mn (0.5000, 0.5000, 0.0000)
Br (0.1535, 0.6535, 0.5000)
Br (0.6535, 0.8465, 0.5000)
Br (0.8465, 0.3465, 0.5000)
Br (0.3465, 0.1535, 0.5000)
Rb (0.3569, 0.8569, 0.0000)
Rb (0.8569, 0.6431, 0.0000)
Rb (0.6431, 0.1431, 0.0000)
Rb (0.1431, 0.3569, 0.0000)

Computed properties:
- ΔE_f (raw): -0.598 eV per atom
- ρ: 3196 kg/m³
- Total moment: 10.0 Bohr magnetons per cell
- Fermi-level density of states: 0.4 states/eV per cell
- Raw total energy: -0.1282 Ha/atom

=====

# 5
Here is a geometry-optimized Tb4Er2Th structure from Alexandria. Energies are from PBE.

a = 3.5710 Å, b = 3.5710 Å, c = 20.0964 Å
α = 89.99°, β = 90.00°, γ = 120.00°
Atoms (fractional coordinates):
Tb (0.0489, 0.0979, 0.9558)
Tb (0.3799, 0.7598, 0.5213)
Tb (0.0479, 0.0957, 0.2375)
Tb (0.3820, 0.7639, 0.8116)
Er (0.7154, 0.4307, 0.0971)
Er (0.7134, 0.4268, 0.3795)
Th (0.7140, 0.4279, 0.6653)

Computed properties:
- ρ: 8995 kg/m³
- Total moment: 0.0 Bohr magnetons per cell
- Fermi-level density of states: 10.2 states/eV per cell
- Raw total energy: -0.1833 Ha/atom

=====

# 6
Here is a geometry-optimized Hf3TiZn2 structure from Alexandria. Energies are from PBE.

a = 3.2196 Å, b = 3.2196 Å, c = 10.8486 Å
α = 90.00°, β = 90.00°, γ = 90.00°
Atoms (fractional coordinates):
Hf (0.0000, 0.0000, 0.0000)
Hf (0.0000, 0.0000, 0.6736)
Hf (0.0000, 0.0000, 0.3264)
Ti (0.5000, 0.5000, 0.5000)
Zn (0.5000, 0.5000, 0.8387)
Zn (0.5000, 0.5000, 0.1613)

Computed properties:
- ρ: 10545 kg/m³
- Total moment: 0.0 Bohr magnetons per cell
- Fermi-level density of states: 5.7 states/eV per cell
- Raw total energy: -0.2512 Ha/atom

=====

# 7
Here is a geometry-optimized Ba3Ti2SnO8 structure from Alexandria. Energies are from PBE.

a = 6.0974 Å, b = 6.0974 Å, c = 7.7939 Å
α = 90.00°, β = 90.00°, γ = 120.00°
Atoms (fractional coordinates):
Ba (0.3333, 0.6667, 0.6600)
Ba (0.6667, 0.3333, 0.3400)
Ba (0.0000, 0.0000, 0.0000)
Ti (0.3333, 0.6667, 0.2033)
Ti (0.6667, 0.3333, 0.7967)
Sn (0.0000, 0.0000, 0.5000)
O (0.3333, 0.6667, 0.9734)
O (0.6667, 0.3333, 0.0266)
O (0.1722, 0.8278, 0.2945)
O (0.8278, 0.1722, 0.7055)
O (0.1722, 0.3444, 0.2945)
O (0.8278, 0.6556, 0.7055)
O (0.6556, 0.8278, 0.2945)
O (0.3444, 0.1722, 0.7055)

Computed properties:
- ΔE_f (raw): -2.683 eV per atom
- ρ: 4992 kg/m³
- Total moment: 0.0 Bohr magnetons per cell
- Fermi-level density of states: 0.0 states/eV per cell
- Raw total energy: -0.2698 Ha/atom

=====

# 8
Here is a geometry-optimized RbBa2ZrC structure from Alexandria. Energies are from PBE.

a = 6.9162 Å, b = 4.3658 Å, c = 6.9162 Å
α = 90.00°, β = 90.00°, γ = 90.00°
Atoms (fractional coordinates):
C (0.0000, 0.5000, 0.0000)
Rb (0.5000, 0.5000, 0.5000)
Ba (0.0000, 0.0000, 0.5000)
Ba (0.5000, 0.0000, 0.0000)
Zr (0.0000, 0.0000, 0.0000)

Computed properties:
- ρ: 3684 kg/m³
- Total moment: 0.6 Bohr magnetons per cell
- Fermi-level density of states: 6.3 states/eV per cell
- Raw total energy: -0.1322 Ha/atom

=====

# 9
Here is a geometry-optimized MgBe2Ru structure from Alexandria. Energies are from PBE.

a = 3.8255 Å, b = 3.8255 Å, c = 8.4629 Å
α = 76.94°, β = 76.94°, γ = 90.00°
Atoms (fractional coordinates):
Ru (0.0000, 0.0000, 0.0000)
Ru (0.7500, 0.2500, 0.5000)
Mg (0.5000, 0.5000, 0.0000)
Mg (0.2500, 0.7500, 0.5000)
Be (0.7683, 0.1250, 0.2500)
Be (0.9817, 0.6250, 0.2500)
Be (0.3750, 0.2317, 0.7500)
Be (0.8750, 0.0183, 0.7500)

Computed properties:
- ρ: 4058 kg/m³
- Total moment: 0.0 Bohr magnetons per cell
- Fermi-level density of states: 4.0 states/eV per cell
- Raw total energy: -0.1538 Ha/atom

=====

# 10
Here is a geometry-optimized LaZn2Ga structure from Alexandria. Energies are from PBE.

a = 3.1268 Å, b = 3.1268 Å, c = 10.7655 Å
α = 81.65°, β = 81.65°, γ = 60.00°
Atoms (fractional coordinates):
Zn (0.0986, 0.0986, 0.7042)
Zn (0.9014, 0.9014, 0.2958)
Ga (0.5000, 0.5000, 0.5000)
La (0.0000, 0.0000, 0.0000)

Computed properties:
- ρ: 6273 kg/m³
- Total moment: 0.0 Bohr magnetons per cell
- Fermi-level density of states: 2.6 states/eV per cell
- Raw total energy: -0.0866 Ha/atom

=====

# 11
Here is a geometry-optimized Mg2FeCuH structure from Alexandria. Energies are from PBE.

a = 4.2934 Å, b = 4.2934 Å, c = 3.4281 Å
α = 90.00°, β = 90.00°, γ = 90.00°
Atoms (fractional coordinates):
H (0.0000, 0.0000, 0.0000)
Mg (0.0000, 0.5000, 0.0000)
Mg (0.5000, 0.0000, 0.0000)
Fe (0.0000, 0.0000, 0.5000)
Cu (0.5000, 0.5000, 0.5000)

Computed properties:
- ρ: 4441 kg/m³
- Total moment: 2.1 Bohr magnetons per cell
- Fermi-level density of states: 3.3 states/eV per cell
- Raw total energy: -0.1381 Ha/atom

=====

# 12
Here is a geometry-optimized Ce2DyTe2Se2 structure from Alexandria. Energies are from PBE.

a = 5.3234 Å, b = 5.3234 Å, c = 8.8741 Å
α = 107.45°, β = 107.45°, γ = 90.00°
Atoms (fractional coordinates):
Ce (0.3818, 0.3818, 0.7637)
Ce (0.6182, 0.6182, 0.2363)
Dy (0.0000, 0.0000, 0.0000)
Te (0.1864, 0.1864, 0.3728)
Te (0.8136, 0.8136, 0.6272)
Se (0.0000, 0.5000, 0.0000)
Se (0.5000, 0.0000, 0.0000)

Computed properties:
- ΔE_f (raw): -1.355 eV per atom
- ρ: 6241 kg/m³
- Total moment: 2.8 Bohr magnetons per cell
- Fermi-level density of states: 15.2 states/eV per cell
- Raw total energy: -0.2059 Ha/atom